# U2Ni3Ru3

An optimized crystal structure of U2Ni3Ru3 (PBE, Alexandria via LeMat-Bulk).

ρ (g/cm³): 13.2
Energy of formation from the pure elements (eV per atom): -0.35
Total moment (μB/atom): 0.000

a b c (Å): 3.933 4.016 7.583
angles (deg): 90.00 90.00 90.00
Sites, in units of the cell vectors:
1 U 0.000 0.000 0.250
2 U 0.000 0.000 0.750
3 Ni 0.000 0.500 0.000
4 Ni 0.500 0.500 0.247
5 Ni 0.500 0.500 0.753
6 Ru 0.000 0.500 0.500
7 Ru 0.500 0.000 0.000
8 Ru 0.500 0.000 0.500